# 1
Mn2Fe at its PBEsol-relaxed geometry, computed with meta-GGA SCAN.

a b c (Å): 2.422 3.440 7.299
angles (deg): 90.00 90.00 90.00
Element x y z (fractional)
Mn 0.000 0.000 0.166
Mn 0.000 0.000 0.834
Mn 0.500 0.500 0.334
Mn 0.500 0.500 0.666
Fe 0.000 0.000 0.500
Fe 0.500 0.500 0.000

Summary:
Theoretical density (Mg/m³): 9.05
Total magnetization (μB/cell): 4.08
Space-group type: Immm
Formation energy from the elements (meV/atom): 261

---

# 2
Mn3Fe at its PBEsol-relaxed geometry, computed with meta-GGA SCAN.

a b c (Å): 4.912 6.896 2.456
angles (deg): 90.00 90.00 90.00
Element x y z (fractional)
Mn 0.000 0.000 0.000
Mn 0.250 0.250 0.500
Mn 0.250 0.750 0.500
Mn 0.500 0.500 0.000
Mn 0.750 0.250 0.500
Mn 0.750 0.750 0.500
Fe 0.000 0.500 0.000
Fe 0.500 0.000 0.000

Summary:
Theoretical density (Mg/m³): 8.81
Total magnetization (μB/cell): 0.63
Space-group type: Cmmm
Formation energy from the elements (meV/atom): -15

---

# 3
Mn3Fe at its PBEsol-relaxed geometry, computed with meta-GGA SCAN.

a b c (Å): 2.785 2.785 5.488
angles (deg): 90.00 90.00 90.00
Element x y z (fractional)
Mn 0.000 0.000 0.000
Mn 0.500 0.500 0.251
Mn 0.500 0.500 0.749
Fe 0.000 0.000 0.500

Summary:
Theoretical density (Mg/m³): 8.61
Total magnetization (μB/cell): 4.62
Space-group type: P4/mmm
Formation energy from the elements (meV/atom): 5

---

# 4
Mn2Fe at its PBEsol-relaxed geometry, computed with meta-GGA SCAN.

a b c (Å): 8.881 2.439 5.760
angles (deg): 90.00 104.15 90.00
Element x y z (fractional)
Mn 0.000 0.000 0.000
Mn 0.056 0.000 0.612
Mn 0.224 0.500 0.946
Mn 0.387 0.000 0.282
Mn 0.500 0.500 0.000
Mn 0.556 0.500 0.612
Mn 0.724 0.000 0.946
Mn 0.887 0.500 0.282
Fe 0.168 0.500 0.335
Fe 0.333 0.000 0.668
Fe 0.668 0.000 0.335
Fe 0.833 0.500 0.668

Summary:
Theoretical density (Mg/m³): 9.10
Total magnetization (μB/cell): 0.50
Space-group type: Cm
Formation energy from the elements (meV/atom): 191